# 1
ScBi2S4 | PBE | optimized geometry

Results
As for the final energy: -4.934 eV/atom. As for the calculated density: 5.65 Mg/m³. The density of states at the Fermi level is 0.40 states/eV per atom.

Lattice parameters (Å, degrees): 7.8821 7.8821 7.8821 143.30 143.30 52.88
With the nearest neighbours (Å) after each atom.
Fractional coordinates of all 7 atoms:
1 Sc 0.0000 0.0000 0.0000  6 S 2.48-2.58
2 Bi 0.3632 0.3632 0.0000  1 S 2.55
3 Bi 0.6368 0.6368 0.0000  1 S 2.55
4 S 0.0000 0.5000 0.5000  2 Sc 2.48
5 S 0.1827 0.1827 0.0000  1 Bi 2.55, 1 Sc 2.58
6 S 0.5000 0.0000 0.5000  2 Sc 2.48
7 S 0.8173 0.8173 0.0000  1 Bi 2.55, 1 Sc 2.58

***

# 2
Sc3BiS6 | PBE | optimized geometry

Results
As for the final energy: -6.242 eV/atom. As for the calculated density: 4.22 Mg/m³. The density of states at the Fermi level is 0.00 states/eV per atom.

Lattice parameters (Å, degrees): 10.7620 3.8182 10.9156 90.00 109.62 90.00
With the nearest neighbours (Å) after each atom.
Fractional coordinates of all 20 atoms:
1 Sc 0.0580 0.2500 0.1626  6 S 2.60-2.64
2 Sc 0.1696 0.7500 0.4956  5 S 2.53-2.76
3 Sc 0.3396 0.2500 0.9138  6 S 2.57-2.61
4 Sc 0.6604 0.7500 0.0862  6 S 2.57-2.61
5 Sc 0.8304 0.2500 0.5044  5 S 2.53-2.76
6 Sc 0.9420 0.7500 0.8374  6 S 2.60-2.64
7 Bi 0.4629 0.2500 0.3078  6 S 2.78-3.01
8 Bi 0.5371 0.7500 0.6922  6 S 2.78-3.01
9 S 0.0194 0.2500 0.3853  4 Sc 2.53-2.76
10 S 0.1089 0.2500 0.9427  4 Sc 2.61-2.64
11 S 0.2221 0.7500 0.2716  3 Sc 2.60-2.69
12 S 0.2971 0.7500 0.7468  3 Sc 2.57-2.62, 1 Bi 2.84
13 S 0.3766 0.2500 0.5290  3 Bi 2.78-2.86, 2 Sc 2.86
14 S 0.4190 0.7500 0.0837  3 Sc 2.59-2.60
15 S 0.5810 0.2500 0.9163  3 Sc 2.59-2.60
16 S 0.6234 0.7500 0.4710  3 Bi 2.78-2.86, 2 Sc 2.86
17 S 0.7029 0.2500 0.2532  3 Sc 2.57-2.62, 1 Bi 2.84
18 S 0.7779 0.2500 0.7284  3 Sc 2.60-2.69
19 S 0.8911 0.7500 0.0573  4 Sc 2.61-2.64
20 S 0.9806 0.7500 0.6147  4 Sc 2.53-2.76

***

# 3
Sc4BiS | PBE | optimized geometry

Results
As for the final energy: -6.065 eV/atom. As for the calculated density: 4.14 Mg/m³. The density of states at the Fermi level is 1.53 states/eV per atom.

Lattice parameters (Å, degrees): 5.0656 9.9969 6.6639 90.00 90.35 90.00
With the nearest neighbours (Å) after each atom.
Fractional coordinates of all 12 atoms:
1 Sc 0.2467 0.0063 0.3308  1 S 2.45
2 Sc 0.2467 0.4937 0.3308  1 S 2.45
3 Sc 0.2490 0.7500 0.6296  2 S 2.59-2.60
4 Sc 0.2511 0.2500 0.6703  1 S 2.55
5 Sc 0.7489 0.7500 0.3297  1 S 2.55
6 Sc 0.7510 0.2500 0.3704  2 S 2.59-2.60
7 Sc 0.7533 0.5063 0.6692  1 S 2.45
8 Sc 0.7533 0.9937 0.6692  1 S 2.45
9 Bi 0.2469 0.7500 0.1049  5 Sc 2.94-3.17
10 Bi 0.7531 0.2500 0.8951  5 Sc 2.94-3.17
11 S 0.2512 0.2500 0.2883  5 Sc 2.45-2.60
12 S 0.7488 0.7500 0.7117  5 Sc 2.45-2.60

***

# 4
ScBiS3 | PBE | optimized geometry

Results
As for the final energy: -5.506 eV/atom. As for the calculated density: 4.50 Mg/m³.

Lattice parameters (Å, degrees): 6.6691 6.6691 6.7089 90.00 90.00 120.00
With the nearest neighbours (Å) after each atom.
Fractional coordinates of all 10 atoms:
1 Sc 0.0000 0.0000 0.0000  6 S 2.62
2 Sc 0.0000 0.0000 0.5000  6 S 2.62
3 Bi 0.6667 0.3333 0.0000  6 S 2.84
4 Bi 0.6667 0.3333 0.5000  6 S 2.84
5 S 0.3070 0.0089 0.2500  2 Sc 2.62, 2 Bi 2.84
6 S 0.3070 0.2981 0.7500  2 Sc 2.62, 2 Bi 2.84
7 S 0.7019 0.0089 0.7500  2 Sc 2.62, 2 Bi 2.84
8 S 0.7019 0.6930 0.2500  2 Sc 2.62, 2 Bi 2.84
9 S 0.9911 0.2981 0.2500  2 Sc 2.62, 2 Bi 2.84
10 S 0.9911 0.6930 0.7500  2 Sc 2.62, 2 Bi 2.84